DFT (PBE) results for a relaxed FeRu2I crystal.

## Properties
Energy relative to the lowest polymorph listed for this composition = 0 meV/atom
Uncorrected formation energy = 0.833 eV/atom

Cell lengths 6.3269, 6.3269, 6.3269 Å; angles 90.00, 90.00, 90.00 degrees
Space group Fm-3m (No. 225)
Inequivalent atoms, fractional coordinates:
Fe 0.0000 0.0000 0.0000 x4
Ru 0.2500 0.2500 0.2500 x8
I 0.0000 0.0000 0.5000 x4

---

DFT (PBE) results for a relaxed AcLaNdDy crystal.

## Properties
ΔH_f (0 K) = 0.11 eV/atom
Energy relative to the lowest polymorph listed for this composition = 0 meV/atom

Cell lengths 8.4226, 8.4226, 8.4226 Å; angles 90.00, 90.00, 90.00 degrees
Space group F-43m (No. 216)
Inequivalent atoms, fractional coordinates:
Ac 0.0000 0.0000 0.0000 x4
La 0.0000 0.0000 0.5000 x4
Nd 0.2500 0.2500 0.2500 x4
Dy 0.2500 0.2500 0.7500 x4

---

DFT (PBE) results for a relaxed HoTi2Ni9 crystal.

## Properties
ΔH_f (0 K) = -0.37 eV/atom

Cell lengths 4.7969, 4.7969, 23.4008 Å; angles 90.00, 90.00, 120.00 degrees
Space group R-3m (No. 166, hexagonal axes)
Inequivalent atoms, fractional coordinates:
Ho 0.0000 0.0000 0.0000 x3
Ti 0.0000 0.0000 0.1421 x6
Ni 0.0000 0.0000 0.3338 x6
Ni 0.0000 0.0000 0.5000 x3
Ni 0.0056 0.5028 0.9130 x18

---

DFT (PBE) results for a relaxed CdInCl crystal.

## Properties
Energy relative to the lowest polymorph listed for this composition = 0 meV/atom
Uncorrected formation energy = -0.368 eV/atom

Cell lengths 4.4441, 4.4441, 5.5289 Å; angles 90.00, 90.00, 120.00 degrees
Space group P3m1 (No. 156)
Inequivalent atoms, fractional coordinates:
Cd 0.0000 0.0000 0.0000 x1
In 0.3333 0.6667 0.6541 x1
Cl 0.6667 0.3333 0.3518 x1

---

| no. | uncorrected energy (eV/cell) |
| --- | --- |
| 1 | -100.93 |
| 2 | -71.82 |
| 3 | -230.36 |
| 4 | -6.60 |